Computed, not measured: BaMgTc after structural relaxation at the PBE-GGA level of DFT.

```
BaMgTc
1.0
3.316 0.000 0.000
-1.658 2.871 0.000
0.000 0.000 7.998
Tc Ba Mg
1 1 1
direct
0.333 0.667 0.645 Tc
0.000 0.000 0.964 Ba
0.667 0.333 0.391 Mg
```

Results
total magnetization	1.06	μB/f.u.
Fermi-level density of states	2.02	states/eV per cell
DFT total energy	-3.7324	eV per atom